[1]
Here is a relaxed NiAu3 crystal from the Alexandria database. Energies are from PBE-GGA.

- Calculated volume: 16.60 A^3/atom
- Crystal system: hexagonal
- Energy relative to the elements: 0.1139 eV/atom
- Raw total energy: -3.79 eV per atom

abc: 2.8522 2.8522 9.4224
angles: 90.00 90.00 120.00
Closest atoms and distances in Å follow each position.
Fractional positions:
Ni 0.3333 0.6667 0.7500  6 Au 2.70, 6 Ni 2.85
Au 0.0000 0.0000 0.5229  3 Ni 2.70, 6 Au 2.85
Au 0.0000 0.0000 0.9771  3 Ni 2.70, 6 Au 2.85
Au 0.3333 0.6667 0.2500  12 Au 2.85-3.05

=====

[2]
Here is a relaxed TmAlCdAg crystal from the Alexandria database. Energies are from PBE-GGA.

- Calculated volume: 20.35 A^3/atom
- Crystal system: cubic
- Energy relative to the elements: -0.2363 eV/atom
- Raw total energy: -3.23 eV per atom

abc: 4.8642 4.8642 4.8642
angles: 60.00 60.00 60.00
Closest atoms and distances in Å follow each position.
Fractional positions:
Tm 0.0000 0.0000 0.0000  4 Cd 2.98, 4 Ag 2.98
Al 0.5000 0.5000 0.5000  4 Ag 2.98, 4 Cd 2.98
Cd 0.7500 0.7500 0.7500  4 Al 2.98, 4 Tm 2.98
Ag 0.2500 0.2500 0.2500  4 Al 2.98, 4 Tm 2.98

=====

[3]
Here is a relaxed V2CrSe crystal from the Alexandria database. Energies are from PBE-GGA.

- Calculated volume: 13.56 A^3/atom
- Crystal system: cubic
- Relative energy among the computed polymorphs: 0.0 meV/atom
- E_form (uncorrected): 0.17 eV/atom
- Raw total energy: -7.66 eV per atom

abc: 4.2491 4.2491 4.2491
angles: 60.00 60.00 60.00
Closest atoms and distances in Å follow each position.
Fractional positions:
V 0.7500 0.7500 0.7500  4 Cr 2.60, 4 Se 2.60
V 0.2500 0.2500 0.2500  4 Se 2.60, 4 Cr 2.60
Se 0.5000 0.5000 0.5000  8 V 2.60
Cr 0.0000 0.0000 0.0000  8 V 2.60

=====

[4]
Here is a relaxed TlSi2Mo crystal from the Alexandria database. Energies are from PBE-GGA.

- Calculated volume: 18.98 A^3/atom
- Crystal system: trigonal
- Relative energy among the computed polymorphs: 102.5 meV/atom
- E_form (uncorrected): 0.26 eV/atom
- Raw total energy: -5.75 eV per atom

abc: 8.5111 8.5111 8.5111
angles: 22.01 22.01 22.01
Closest atoms and distances in Å follow each position.
Fractional positions:
Si 0.0157 0.0157 0.0157  3 Mo 2.52
Si 0.4843 0.4843 0.4843  3 Mo 2.52
Mo 0.7500 0.7500 0.7500  6 Si 2.52
Tl 0.2500 0.2500 0.2500  6 Si 3.10, 6 Tl 3.25

=====

[5]
Here is a relaxed Na2LaB2 crystal from the Alexandria database. Energies are from PBE-GGA.

- Calculated volume: 18.17 A^3/atom
- Crystal system: tetragonal
- Relative energy among the computed polymorphs: 0.0 meV/atom
- Energy relative to the elements: 1.0166 eV/atom
- Raw total energy: -3.17 eV per atom

abc: 7.6626 7.6626 3.0941
angles: 90.00 90.00 90.00
Closest atoms and distances in Å follow each position.
Fractional positions:
Na 0.8880 0.6120 0.0000  1 Na 2.43, 2 B 2.61
Na 0.1120 0.3880 0.0000  1 Na 2.43, 2 B 2.61
Na 0.6120 0.1120 0.0000  1 Na 2.43, 2 B 2.61
Na 0.3880 0.8880 0.0000  1 Na 2.43, 2 B 2.61
B 0.3063 0.1937 0.5000  6 Na 2.61-2.88
B 0.6937 0.8063 0.5000  6 Na 2.61-2.88
B 0.1937 0.6937 0.5000  6 Na 2.61-2.88
B 0.8063 0.3063 0.5000  6 Na 2.61-2.88
La 0.5000 0.5000 0.0000  2 La 3.09, 4 Na 3.09, 8 B 3.18
La 0.0000 0.0000 0.0000  2 La 3.09, 4 Na 3.09, 8 B 3.18

=====

[6]
Here is a relaxed LaCu2RuRh crystal from the Alexandria database. Energies are from PBE-GGA.

- Calculated volume: 21.82 A^3/atom
- Crystal system: tetragonal
- Energy relative to the elements: 0.8021 eV/atom
- Raw total energy: -5.15 eV per atom

abc: 4.6844 4.9713 4.6844
angles: 90.00 90.00 90.00
Closest atoms and distances in Å follow each position.
Fractional positions:
Rh 0.5000 0.5000 0.5000  4 La 3.31, 8 Cu 3.42
Cu 0.5000 0.0000 0.0000  2 Ru 2.34
Cu 0.0000 0.0000 0.5000  2 Ru 2.34
Ru 0.0000 0.0000 0.0000  4 Cu 2.34, 2 La 2.49
La 0.0000 0.5000 0.0000  2 Ru 2.49

=====

Number 1: theoretical density 16.25 Mg/m³. Number 2: theoretical density 8.49 Mg/m³. Number 3: theoretical density 7.13 Mg/m³. Number 4: theoretical density 7.80 Mg/m³. Number 5: theoretical density 3.78 Mg/m³. Number 6: theoretical density 7.15 Mg/m³.